VASP calculation (PBE+U) on a geometry-optimized Pm2FeAsO6 structure.

Values from the calculation:
Volume (Å³/atom): 14.15
Space-group type: No. 99
Total magnetization (μB per formula unit): 3.57
Uncorrected energy (eV per atom): -7.113

Cell lengths 5.357, 5.357, 4.932 Å; angles 90.00, 90.00, 90.00 degrees
Atoms (fractional coordinates):
Pm 0.000 0.500 0.000
Pm 0.500 0.000 0.000
Fe 0.000 0.000 0.551
As 0.500 0.500 0.591
O 0.000 0.000 0.157
O 0.257 0.257 0.719
O 0.257 0.743 0.719
O 0.500 0.500 0.210
O 0.743 0.257 0.719
O 0.743 0.743 0.719